Co2As3O6, relaxed, DFT PBE with a Hubbard U; space group = No. 15
1.0
4.368 -4.197 0.000
4.368 4.197 0.000
-2.753 0.000 9.152
Co As O
4 6 12
direct
0.105 0.246 0.018
0.246 0.105 0.518
0.754 0.895 0.482
0.895 0.754 0.982
0.150 0.600 0.304
0.336 0.664 0.750
0.400 0.850 0.196
0.600 0.150 0.804
0.664 0.336 0.250
0.850 0.400 0.696
0.038 0.853 0.393
0.053 0.476 0.866
0.147 0.962 0.107
0.346 0.423 0.617
0.423 0.346 0.117
0.476 0.053 0.366
0.524 0.947 0.634
0.577 0.654 0.883
0.654 0.577 0.383
0.853 0.038 0.893
0.947 0.524 0.134
0.962 0.147 0.607

***

Co3AsO, relaxed, DFT PBE with a Hubbard U; space group = No. 221
1.0
4.604 0.000 0.000
0.000 4.604 0.000
0.000 0.000 4.604
Co As O
3 1 1
direct
0.000 0.000 0.500
0.000 0.500 0.000
0.500 0.000 0.000
0.000 0.000 0.000
0.500 0.500 0.500

***

CoAsPO2, relaxed, DFT PBE with a Hubbard U; space group = No. 123
1.0
3.692 0.000 0.000
0.000 3.692 0.000
0.000 0.000 4.681
Co As P O
1 1 1 2
direct
0.000 0.000 0.000
0.500 0.500 0.500
0.000 0.000 0.500
0.000 0.500 0.000
0.500 0.000 0.000

***

CoAsPO2, relaxed, DFT PBE with a Hubbard U; space group = No. 123
1.0
3.641 0.000 0.000
0.000 3.641 0.000
0.000 0.000 5.138
Co As P O
1 1 1 2
direct
0.000 0.000 0.000
0.500 0.500 0.500
0.500 0.500 0.000
0.000 0.500 0.500
0.500 0.000 0.500

***

PaCoAsO6, relaxed, DFT PBE with a Hubbard U; space group = No. 163
1.0
5.357 0.000 0.000
-2.678 4.639 0.000
0.000 0.000 8.765
Pa Co As O
2 2 2 12
direct
0.333 0.667 0.250
0.667 0.333 0.750
0.000 0.000 0.000
0.000 0.000 0.500
0.333 0.667 0.750
0.667 0.333 0.250
0.045 0.370 0.631
0.045 0.675 0.869
0.325 0.370 0.869
0.325 0.955 0.631
0.370 0.045 0.131
0.370 0.325 0.369
0.630 0.675 0.631
0.630 0.955 0.869
0.675 0.045 0.369
0.675 0.630 0.131
0.955 0.325 0.131
0.955 0.630 0.369

***

Co2AsPbO8, relaxed, DFT PBE with a Hubbard U; space group = No. 147
1.0
5.171 0.000 0.000
-2.586 4.478 0.000
0.000 0.000 6.921
Co As Pb O
2 1 1 8
direct
0.333 0.667 0.220
0.667 0.333 0.780
0.000 0.000 0.000
0.000 0.000 0.500
0.029 0.300 0.162
0.270 0.971 0.162
0.300 0.270 0.838
0.333 0.667 0.466
0.667 0.333 0.534
0.700 0.730 0.162
0.730 0.029 0.838
0.971 0.700 0.838

***

The records above yield calculated volume values of 15.25 19.51 12.76 13.62 12.10 13.36 Å³ per atom, respectively.
The records above yield uncorrected energy values of -127.965 -18.972 -24.752 -25.296 -132.617 -66.306 eV per cell, respectively.